1.
First-principles (PBE-GGA) data for BaTaIr2 after structural relaxation, as listed in Alexandria via LeMat-Bulk.

E above lowest polymorph   0.7086 eV/atom
ρ   14277 kg/m³
SG   No. 65

Geometry as POSCAR:
```
BaTaIr2
1.0
5.2065 0.0678 0.0072
-0.0500 5.2067 0.0072
-0.0039 -0.0040 3.0145
Ir Ba Ta
2 1 1
Cartesian
0.0000 0.0000 0.0000
2.5782 2.6372 0.0072
-0.0270 2.6013 1.5109
2.6013 0.0319 1.5109
```

=====

2.
First-principles (PBE-GGA) data for TbHfCuNi after structural relaxation, as listed in Alexandria via LeMat-Bulk.

Final energy   -6.319 eV per atom
ρ   10432 kg/m³
SG   No. 216

Geometry as POSCAR:
```
TbHfCuNi
1.0
4.6948 0.0000 0.0000
2.3474 4.0658 0.0000
2.3474 1.3553 3.8333
Tb Hf Cu Ni
1 1 1 1
Cartesian
0.0000 0.0000 0.0000
4.6948 2.7105 1.9166
2.3474 1.3553 0.9583
7.0422 4.0658 2.8750
```

=====

3.
First-principles (PBE-GGA) data for Li3Mg6Ag after structural relaxation, as listed in Alexandria via LeMat-Bulk.

E above lowest polymorph   0.0352 eV/atom
ρ   2166 kg/m³
SG   No. 11

Geometry as POSCAR:
```
Li3Mg6Ag
1.0
-0.2464 -2.2508 -2.0583
10.5679 2.1106 -3.5728
-2.2798 -9.2119 10.3464
Li Mg Ag
6 12 2
Cartesian
1.8224 -9.1027 6.3241
6.2193 -0.2495 -1.6089
5.2746 -4.9875 1.4108
2.7672 -4.3646 3.3044
0.9334 -2.2918 -1.0175
7.1084 -7.0604 5.7327
4.5426 -6.9261 3.6183
3.4991 -2.4261 1.0969
8.6145 -0.8940 -3.4653
-0.5728 -8.4582 8.1805
3.6149 -1.7505 -1.9303
4.4269 -7.6017 6.6455
6.1333 -3.1446 -0.7072
1.9085 -6.2075 5.4224
-0.1280 -5.8423 2.9922
8.1698 -3.5099 1.7230
7.4866 -6.4378 2.7320
0.5552 -2.9144 1.9832
-0.4771 -7.8673 5.2484
8.5188 -1.4848 -0.5332
```

=====

4.
First-principles (PBE-GGA) data for PdRuS2 after structural relaxation, as listed in Alexandria via LeMat-Bulk.

E above lowest polymorph   0.0000 eV/atom
ρ   5923 kg/m³
SG   No. 122

Geometry as POSCAR:
```
PdRuS2
1.0
-2.4495 -1.7444 4.4159
4.3630 -2.7870 1.3192
2.8270 1.9396 5.5662
Ru S Pd
2 4 2
Cartesian
0.9568 -2.2657 2.8676
4.0734 -1.5565 4.8765
-0.2224 -0.9136 4.2148
3.0711 -1.5151 2.8697
2.9383 -0.3087 6.3557
3.6942 -2.4461 9.1625
0.0000 0.0000 0.0000
0.6672 -1.0352 6.4249
```

=====

5.
First-principles (PBE-GGA) data for Bi2BSe after structural relaxation, as listed in Alexandria via LeMat-Bulk.

E above lowest polymorph   0.0000 eV/atom
ρ   7646 kg/m³
SG   No. 122

Geometry as POSCAR:
```
Bi2BSe
1.0
6.7563 0.0000 0.0000
0.0000 6.7563 0.0000
3.3782 3.3782 4.8311
B Bi Se
2 4 2
Cartesian
3.3782 3.3782 0.0000
3.3782 6.7563 2.4155
4.6181 1.6891 1.2078
2.1383 5.0673 1.2078
5.0673 5.5165 3.6233
8.4454 7.9962 3.6233
0.0000 0.0000 0.0000
6.7563 3.3782 2.4155
```

=====

6.
First-principles (PBE-GGA) data for TlAu2O2 after structural relaxation, as listed in Alexandria via LeMat-Bulk.

Final energy   -4.005 eV per atom
ρ   11146 kg/m³
SG   No. 15

Geometry as POSCAR:
```
TlAu2O2
1.0
-3.7958 -4.1370 0.9789
5.0534 -2.3037 -3.1323
2.5854 1.9974 5.4755
Tl Au O
2 4 4
Cartesian
3.8140 -2.8319 -1.8748
0.0290 -1.6115 5.1968
3.8194 -0.1532 1.1716
1.2927 0.9987 2.7377
1.9215 -2.2217 1.6610
0.6288 -3.2204 -1.0767
0.7671 -1.5682 0.1083
3.0759 -2.8752 3.2137
5.3592 -1.4784 1.3800
-1.5162 -2.9650 1.9420
```

=====

7.
First-principles (PBE-GGA) data for Ac2Cd3Au2 after structural relaxation, as listed in Alexandria via LeMat-Bulk.

E above lowest polymorph   0.0333 eV/atom
ρ   10210 kg/m³
SG   No. 12

Geometry as POSCAR:
```
Ac2Cd3Au2
1.0
4.4254 0.0000 0.0000
-2.2127 5.5712 0.3105
0.0000 -0.8756 7.7690
Ac Cd Au
2 3 2
Cartesian
2.2127 1.1059 2.6588
0.0000 3.5897 5.4207
0.0000 3.4818 1.1425
0.0000 0.0000 0.0000
2.2127 1.2137 6.9370
0.0000 0.4557 5.0675
2.2127 4.2398 3.0120
```

=====

8.
First-principles (PBE-GGA) data for BaInSi after structural relaxation, as listed in Alexandria via LeMat-Bulk.

Final energy   -2.960 eV per atom
ρ   4217 kg/m³
SG   No. 216

Geometry as POSCAR:
```
BaInSi
1.0
5.3840 0.0000 0.0000
2.6920 4.6626 0.0000
2.6920 1.5542 4.3960
Ba In Si
1 1 1
Cartesian
2.6920 1.5542 1.0990
0.0000 0.0000 0.0000
5.3840 3.1084 2.1980
```

=====

9.
First-principles (PBE-GGA) data for LaSm5Tl2 after structural relaxation, as listed in Alexandria via LeMat-Bulk.

E above lowest polymorph   0.0000 eV/atom
ρ   8343 kg/m³
SG   No. 71

Geometry as POSCAR:
```
LaSm5Tl2
1.0
3.7381 0.0000 0.0000
1.8691 8.3621 -0.5565
1.8691 1.9851 8.1421
La Sm Tl
1 5 2
Cartesian
0.0000 0.0000 0.0000
1.8691 5.1736 3.7928
3.7381 5.1797 0.8081
3.7381 5.1675 6.7775
3.7381 8.0182 2.8890
3.7381 2.3290 4.6966
5.6072 7.9171 5.8041
1.8691 2.4301 1.7815
```

=====

10.
First-principles (PBE-GGA) data for La3ScZn4 after structural relaxation, as listed in Alexandria via LeMat-Bulk.

Final energy   -3.573 eV per atom
ρ   6124 kg/m³
SG   No. 123

Geometry as POSCAR:
```
La3ScZn4
1.0
3.6342 0.0000 0.0000
0.0000 3.6342 0.0000
0.0000 0.0000 14.8499
Sc Zn La
1 4 3
Cartesian
1.8171 1.8171 0.0000
0.0000 0.0000 13.4170
0.0000 0.0000 1.4330
0.0000 0.0000 5.4877
0.0000 0.0000 9.3622
1.8171 1.8171 3.5044
1.8171 1.8171 7.4250
1.8171 1.8171 11.3456
```